No. 1
The following is a PBE calculation of AcZrNi2Ge2 after structural relaxation, from the Alexandria database.

Output
- Energy of formation: -0.73 eV/atom
- Volume: 19.51 Å³ per atom

Geometry as CIF:
```
data_AcZrNi2Ge2
_space_group_name_H-M_alt 'P -3 m 1'
_space_group_IT_number 164
_space_group_name_Hall '-P 3 2"'
_cell_length_a 4.2469
_cell_length_b 4.2469
_cell_length_c 7.4937
_cell_angle_alpha 90.00
_cell_angle_beta 90.00
_cell_angle_gamma 120.00
loop_
_atom_site_label
_atom_site_fract_x
_atom_site_fract_y
_atom_site_fract_z
Ac1 0.0000 0.0000 0.0000
Zr1 0.0000 0.0000 0.5000
Ni1 0.3333 0.6667 0.6689
Ge1 0.3333 0.6667 0.2958
```



No. 2
The following is a PBE calculation of YNp3Tl4S8 after structural relaxation, from the Alexandria database.

Output
- Energy relative to the elements, uncorrected: -1137 meV per atom
- Volume: 26.80 Å³ per atom

Geometry as CIF:
```
data_YNp3Tl4S8
_space_group_name_H-M_alt 'R -3 m'
_space_group_IT_number 166
_space_group_name_Hall '-R 3 2"'
_cell_length_a 8.1199
_cell_length_b 8.1199
_cell_length_c 22.5261
_cell_angle_alpha 90.00
_cell_angle_beta 90.00
_cell_angle_gamma 120.00
loop_
_atom_site_label
_atom_site_fract_x
_atom_site_fract_y
_atom_site_fract_z
Y1 0.0000 0.0000 0.0000
Np1 0.0000 0.5000 0.0000
Tl1 0.0000 0.0000 0.5000
Tl2 0.0000 0.5000 0.5000
S1 0.0000 0.0000 0.2696
S2 0.0001 0.5001 0.2681
```



No. 3
The following is a PBE calculation of Li2TaTc after structural relaxation, from the Alexandria database.

Output
- Energy of formation: 0.35 eV/atom
- Volume: 15.85 Å³ per atom

Geometry as CIF:
```
data_Li2TaTc
_space_group_name_H-M_alt 'C m m m'
_space_group_IT_number 65
_space_group_name_Hall '-C 2 2'
_cell_length_a 3.022
_cell_length_b 4.261
_cell_length_c 9.849
_cell_angle_alpha 90.00
_cell_angle_beta 90.00
_cell_angle_gamma 90.00
loop_
_atom_site_label
_atom_site_fract_x
_atom_site_fract_y
_atom_site_fract_z
Li1 0.000 0.000 0.234
Ta1 0.000 0.500 0.500
Tc1 0.000 0.500 0.000
```



No. 4
The following is a PBE calculation of YMoOs2 after structural relaxation, from the Alexandria database.

Output
- Energy of formation: 0.24 eV/atom
- Volume: 17.18 Å³ per atom

Geometry as CIF:
```
data_YMoOs2
_space_group_name_H-M_alt 'F m -3 m'
_space_group_IT_number 225
_space_group_name_Hall '-F 4 2 3'
_cell_length_a 6.501
_cell_length_b 6.501
_cell_length_c 6.501
_cell_angle_alpha 90.00
_cell_angle_beta 90.00
_cell_angle_gamma 90.00
loop_
_atom_site_label
_atom_site_fract_x
_atom_site_fract_y
_atom_site_fract_z
Y1 0.000 0.000 0.000
Mo1 0.000 0.000 0.500
Os1 0.250 0.250 0.250
```



No. 5
The following is a PBE calculation of Y6TmMg after structural relaxation, from the Alexandria database.

Output
- Energy of formation: 0.12 eV/atom
- Volume: 31.58 Å³ per atom

Geometry as CIF:
```
data_Y6TmMg
_space_group_name_H-M_alt 'P -1'
_space_group_IT_number 2
_cell_length_a 6.341
_cell_length_b 6.342
_cell_length_c 6.345
_cell_angle_alpha 94.58
_cell_angle_beta 94.52
_cell_angle_gamma 94.62
loop_
_space_group_symop_operation_xyz
'x,y,z'
'-x,-y,-z'
loop_
_atom_site_label
_atom_site_fract_x
_atom_site_fract_y
_atom_site_fract_z
Y1 0.035 0.256 0.042
Y2 0.256 0.542 0.535
Y3 0.458 0.965 0.244
Tm1 0.000 0.000 0.500
Mg1 0.500 0.500 0.000
```



No. 6
The following is a PBE calculation of VSiMoCl2 after structural relaxation, from the Alexandria database.

Output
- Energy relative to the elements, uncorrected: 887 meV per atom
- Volume: 21.24 Å³ per atom

Geometry as CIF:
```
data_VSiMoCl2
_space_group_name_H-M_alt 'P 4/m m m'
_space_group_IT_number 123
_space_group_name_Hall '-P 4 2'
_cell_length_a 4.600
_cell_length_b 4.600
_cell_length_c 5.020
_cell_angle_alpha 90.00
_cell_angle_beta 90.00
_cell_angle_gamma 90.00
loop_
_atom_site_label
_atom_site_fract_x
_atom_site_fract_y
_atom_site_fract_z
V1 0.000 0.000 0.000
Si1 0.500 0.500 0.000
Mo1 0.000 0.000 0.500
Cl1 0.000 0.500 0.500
```